[1]
## Pr3Ga10Ni (PBEsol)

Data for an optimized crystal structure of Pr3Ga10Ni.

a = 4.2098 Å, b = 4.2343 Å, c = 15.1615 Å
α = 90.00°, β = 90.00°, γ = 90.00°
Last column: nearest neighbours and their distance in Å.
Fractional coordinates of all 14 atoms:
Pr  0.0000  0.5000  0.5000  12 Ga 3.19-3.23
Pr  0.0000  0.0000  0.2486  14 Ga 3.14-3.34
Pr  0.0000  0.0000  0.7514  14 Ga 3.14-3.34
Ga  0.5000  0.5000  0.1835  5 Ga 2.40-2.59
Ga  0.5000  0.5000  0.8165  5 Ga 2.40-2.59
Ga  0.5000  0.5000  0.3421  3 Ga 2.40-2.42
Ga  0.5000  0.5000  0.6579  3 Ga 2.40-2.42
Ga  0.5000  0.0000  0.4195  3 Ga 2.42-2.44
Ga  0.5000  0.0000  0.5805  3 Ga 2.42-2.44
Ga  0.5000  0.0000  0.0847  2 Ni 2.47, 3 Ga 2.57-2.59
Ga  0.5000  0.0000  0.9153  2 Ni 2.47, 3 Ga 2.57-2.59
Ga  0.0000  0.5000  0.0842  2 Ni 2.47, 3 Ga 2.55-2.59
Ga  0.0000  0.5000  0.9158  2 Ni 2.47, 3 Ga 2.55-2.59
Ni  0.0000  0.0000  0.0000  8 Ga 2.47

Values from the calculation:
- DOS(E_F) (states/eV/atom) = 0.25
- total moment (μB/cell) = 0.00
- formation energy (meV/atom) = -614

---

[2]
## PrGa3Ni (PBEsol)

Data for an optimized crystal structure of PrGa3Ni.

a = 4.1121 Å, b = 4.1121 Å, c = 5.9770 Å
α = 110.12°, β = 110.12°, γ = 90.00°
Last column: nearest neighbours and their distance in Å.
Fractional coordinates of all 5 atoms:
Pr  0.7500  0.2500  0.5000  12 Ga 3.16-3.32, 4 Ni 3.32
Ni  0.5000  0.5000  0.0000  4 Ga 2.47
Ga  0.3696  0.8696  0.7392  2 Ni 2.47, 3 Ga 2.47-2.50
Ga  0.1304  0.6304  0.2608  2 Ni 2.47, 3 Ga 2.47-2.50
Ga  0.0000  0.0000  0.0000  4 Ga 2.47

Values from the calculation:
- DOS(E_F) (states/eV/atom) = 0.51
- total moment (μB/cell) = 0.00
- formation energy (meV/atom) = -578

---

[3]
## Pr2GaNi2 (PBEsol)

Data for an optimized crystal structure of Pr2GaNi2.

a = 4.2321 Å, b = 5.3634 Å, c = 5.4565 Å
α = 119.44°, β = 112.82°, γ = 90.00°
Last column: nearest neighbours and their distance in Å.
Fractional coordinates of all 5 atoms:
Pr  0.2006  0.7006  0.4013  6 Ni 2.91-3.00, 2 Ga 3.18
Pr  0.7994  0.2994  0.5987  6 Ni 2.91-3.00, 2 Ga 3.18
Ni  0.5000  0.2617  0.0000  2 Ga 2.54, 2 Ni 2.56-2.81
Ni  0.5000  0.7383  0.0000  2 Ga 2.54, 2 Ni 2.56-2.81
Ga  0.0000  0.0000  0.0000  4 Ni 2.54

Values from the calculation:
- DOS(E_F) (states/eV/atom) = 0.74
- total moment (μB/cell) = 0.00
- formation energy (meV/atom) = -454

---

[4]
## GaSiNiPt2 (PBEsol)

Data for an optimized crystal structure of GaSiNiPt2.

a = 4.1461 Å, b = 4.4933 Å, c = 4.4933 Å
α = 90.00°, β = 90.00°, γ = 90.00°
Last column: nearest neighbours and their distance in Å.
Fractional coordinates of all 5 atoms:
Ni  0.5000  0.0000  0.0000  2 Si 2.07
Si  0.0000  0.0000  0.0000  2 Ni 2.07, 4 Pt 2.25
Ga  0.5000  0.5000  0.5000  8 Pt 3.06, 4 Ni 3.18
Pt  0.0000  0.0000  0.5000  2 Si 2.25
Pt  0.0000  0.5000  0.0000  2 Si 2.25

Values from the calculation:
- formation energy without anion corrections (meV per atom) = 265
- DOS(E_F) (states/eV/atom) = 0.88
- total moment (μB/cell) = 0.00

---

[5]
## PuGaNi (PBEsol)

Data for an optimized crystal structure of PuGaNi.

a = 3.9777 Å, b = 6.5858 Å, c = 6.5858 Å
α = 120.00°, β = 90.00°, γ = 90.00°
Last column: nearest neighbours and their distance in Å.
Fractional coordinates of all 9 atoms:
Pu  0.5000  0.5762  0.5762  5 Ni 2.79-2.80, 2 Ga 2.99
Pu  0.5000  0.0000  0.4238  5 Ni 2.79-2.80, 2 Ga 2.99
Pu  0.5000  0.4238  0.0000  5 Ni 2.79-2.80, 2 Ga 2.99
Ga  0.0000  0.2377  0.2377  4 Ni 2.53-2.57, 2 Ga 2.71
Ga  0.0000  0.0000  0.7623  4 Ni 2.53-2.57, 2 Ga 2.71
Ga  0.0000  0.7623  0.0000  4 Ni 2.53-2.57, 2 Ga 2.71
Ni  0.0000  0.6667  0.3333  3 Ga 2.57, 6 Pu 2.80
Ni  0.0000  0.3333  0.6667  3 Ga 2.57, 6 Pu 2.80
Ni  0.5000  0.0000  0.0000  6 Ga 2.53, 3 Pu 2.79

Values from the calculation:
- DOS(E_F) (states/eV/atom) = 3.05
- total moment (μB/cell) = 14.76
- formation energy (meV/atom) = -239

---

[6]
## GaNiS3 (PBEsol)

Data for an optimized crystal structure of GaNiS3.

a = 4.5853 Å, b = 4.5853 Å, c = 4.5853 Å
α = 90.00°, β = 90.00°, γ = 90.00°
Last column: nearest neighbours and their distance in Å.
Fractional coordinates of all 5 atoms:
Ni  0.5000  0.5000  0.5000  12 S 3.24
S  0.0000  0.5000  0.0000  2 Ga 2.29
S  0.0000  0.0000  0.5000  2 Ga 2.29
S  0.5000  0.0000  0.0000  2 Ga 2.29
Ga  0.0000  0.0000  0.0000  6 S 2.29

Values from the calculation:
- formation energy without anion corrections (meV per atom) = 788
- DOS(E_F) (states/eV/atom) = 1.06
- total moment (μB/cell) = 1.89

---

[7]
## Ga2NiS4 (PBEsol)

Data for an optimized crystal structure of Ga2NiS4.

a = 3.5633 Å, b = 3.5633 Å, c = 12.0683 Å
α = 90.00°, β = 90.00°, γ = 120.00°
Last column: nearest neighbours and their distance in Å.
Fractional coordinates of all 7 atoms:
Ni  0.0000  0.0000  0.5000  6 S 2.34
S  0.3333  0.6667  0.4083  1 Ga 2.25, 3 Ni 2.34
S  0.6667  0.3333  0.5917  1 Ga 2.25, 3 Ni 2.34
S  0.3333  0.6667  0.8666  3 Ga 2.32
S  0.6667  0.3333  0.1334  3 Ga 2.32
Ga  0.6667  0.3333  0.7779  4 S 2.25-2.32
Ga  0.3333  0.6667  0.2221  4 S 2.25-2.32

Values from the calculation:
- formation energy without anion corrections (meV per atom) = -557
- DOS(E_F) (states/eV/atom) = 0.57
- total moment (μB/cell) = 0.51

---

[8]
## Sm3GaNiS7 (PBEsol)

Data for an optimized crystal structure of Sm3GaNiS7.

a = 6.1560 Å, b = 9.5432 Å, c = 9.5432 Å
α = 120.00°, β = 90.00°, γ = 90.00°
Last column: nearest neighbours and their distance in Å.
Fractional coordinates of all 24 atoms:
Sm  0.1749  0.6244  0.8347  7 S 2.75-3.07
Sm  0.1749  0.1653  0.7897  7 S 2.75-3.07
Sm  0.1749  0.2103  0.3756  7 S 2.75-3.07
Sm  0.6749  0.3756  0.1653  7 S 2.75-3.07
Sm  0.6749  0.8347  0.2103  7 S 2.75-3.07
Sm  0.6749  0.7897  0.6244  7 S 2.75-3.07
Ga  0.0990  0.6667  0.3333  4 S 2.24-2.27
Ga  0.5990  0.3333  0.6667  4 S 2.24-2.27
Ni  0.5029  0.0000  0.0000  6 S 2.40-2.48
Ni  0.0029  0.0000  0.0000  6 S 2.40-2.48
S  0.4520  0.4746  0.5573  1 Ga 2.27
S  0.4520  0.4427  0.9172  1 Ga 2.27
S  0.4520  0.0828  0.5254  1 Ga 2.27
S  0.9520  0.5254  0.4427  1 Ga 2.27
S  0.9520  0.5573  0.0828  1 Ga 2.27
S  0.9520  0.9172  0.4746  1 Ga 2.27
S  0.4621  0.6667  0.3333  1 Ga 2.24
S  0.9621  0.3333  0.6667  1 Ga 2.24
S  0.2637  0.8979  0.1262  2 Ni 2.40-2.48
S  0.2637  0.8738  0.7717  2 Ni 2.40-2.48
S  0.2637  0.2283  0.1021  2 Ni 2.40-2.48
S  0.7637  0.1021  0.8738  2 Ni 2.40-2.48
S  0.7637  0.1262  0.2283  2 Ni 2.40-2.48
S  0.7637  0.7717  0.8979  2 Ni 2.40-2.48

Values from the calculation:
- formation energy without anion corrections (meV per atom) = -1518
- DOS(E_F) (states/eV/atom) = 0.07
- total moment (μB/cell) = 4.07